Entry 1:
Below is OsPt4 after structural relaxation, with properties calculated at the GGA-PBE level.

The structure in POSCAR format:
```
OsPt4
1.0
-1.7999 1.7999 6.6310
1.7999 -1.7999 6.6310
1.7999 1.7999 -6.6310
Os Pt
1 4
direct
0.0000 0.0000 0.0000
0.2500 0.7500 0.5000
0.4043 0.4043 0.0000
0.5957 0.5957 0.0000
0.7500 0.2500 0.5000
```

Entry 2:
Below is Cd4BiPt2 after structural relaxation, with properties calculated at the GGA-PBE level.

The structure in POSCAR format:
```
Cd4BiPt2
1.0
2.2816 1.3173 9.3908
-2.2816 1.3173 9.3908
0.0000 -2.6345 9.3908
Cd Bi Pt
4 1 2
direct
0.1003 0.1003 0.1003
0.3013 0.3013 0.3013
0.6987 0.6987 0.6987
0.8997 0.8997 0.8997
0.5000 0.5000 0.5000
0.4000 0.4000 0.4000
0.6000 0.6000 0.6000
```

Entry 3:
Below is Sc6SnHg after structural relaxation, with properties calculated at the GGA-PBE level.

The structure in POSCAR format:
```
Sc6SnHg
1.0
4.1166 -3.1164 0.0000
4.1166 3.1164 0.0000
-2.7988 0.0000 8.0380
Sc Sn Hg
6 1 1
direct
0.0653 0.5726 0.2020
0.1477 0.1477 0.4466
0.4274 0.9347 0.7980
0.5726 0.0653 0.2020
0.8523 0.8523 0.5534
0.9347 0.4274 0.7980
0.0000 0.0000 0.0000
0.5000 0.5000 0.5000
```

Entry 4:
Below is Ga4Fe2Pt after structural relaxation, with properties calculated at the GGA-PBE level.

The structure in POSCAR format:
```
Ga4Fe2Pt
1.0
-2.3908 2.3908 6.0996
2.3908 -2.3908 6.0996
2.3908 2.3908 -6.0996
Ga Fe Pt
4 2 1
direct
0.0000 0.5000 0.5000
0.2064 0.2064 0.0000
0.5000 0.0000 0.5000
0.7936 0.7936 0.0000
0.4076 0.4076 0.0000
0.5924 0.5924 0.0000
0.0000 0.0000 0.0000
```

Entry 5:
Below is NaTiCd2 after structural relaxation, with properties calculated at the GGA-PBE level.

The structure in POSCAR format:
```
NaTiCd2
1.0
3.0696 0.0000 0.0000
0.0000 3.0696 0.0000
0.0000 0.0000 9.1675
Na Ti Cd
1 1 2
direct
0.0000 0.0000 0.0000
0.0000 0.0000 0.5000
0.5000 0.5000 0.2752
0.5000 0.5000 0.7248
```

Entry 6:
Below is ErLuBeCd after structural relaxation, with properties calculated at the GGA-PBE level.

The structure in POSCAR format:
```
ErLuBeCd
1.0
0.0000 3.5471 3.5471
3.5471 0.0000 3.5471
3.5471 3.5471 0.0000
Er Lu Be Cd
1 1 1 1
direct
0.0000 0.0000 0.0000
0.5000 0.5000 0.5000
0.7500 0.7500 0.7500
0.2500 0.2500 0.2500
```

Entry 7:
Below is CeMgCuIr after structural relaxation, with properties calculated at the GGA-PBE level.

The structure in POSCAR format:
```
CeMgCuIr
1.0
0.0000 3.3552 3.3552
3.3552 0.0000 3.3552
3.3552 3.3552 0.0000
Ce Mg Cu Ir
1 1 1 1
direct
0.0000 0.0000 0.0000
0.5000 0.5000 0.5000
0.7500 0.7500 0.7500
0.2500 0.2500 0.2500
```

Entry 8:
Below is Pu2MnGe2 after structural relaxation, with properties calculated at the GGA-PBE level.

The structure in POSCAR format:
```
Pu2MnGe2
1.0
5.5058 -2.1211 0.0000
5.5058 2.1211 0.0000
-5.3647 0.0000 8.9061
Pu Mn Ge
4 2 4
direct
0.0187 0.0187 0.1804
0.1859 0.1859 0.5909
0.8141 0.8141 0.4091
0.9813 0.9813 0.8196
0.2759 0.2759 0.1106
0.7241 0.7241 0.8894
0.3505 0.3505 0.9256
0.4953 0.4953 0.3657
0.5047 0.5047 0.6343
0.6495 0.6495 0.0744
```

Values for formation energy, eV per formula unit, ordered as above
3.5; -1.0; -0.4; 1.5; 0.1; -0.2; -1.3; -1.5
Values for raw total energy, eV/atom, ordered as above
-6.387; -2.952; -5.334; -4.797; -2.724; -3.482; -5.456; -9.705